1.
## NpBeRu (PBE-GGA)

Data for NpBeRu after structural relaxation.

a = 3.164 Å, b = 7.349 Å, c = 7.523 Å
α = 90.00°, β = 90.00°, γ = 90.00°
Fractional positions:
Np 0.250 0.369 0.501
Np 0.750 0.631 0.499
Np 0.250 0.131 0.001
Np 0.750 0.869 0.999
Be 0.250 0.620 0.799
Be 0.750 0.380 0.201
Be 0.250 0.880 0.299
Be 0.750 0.120 0.701
Ru 0.250 0.600 0.118
Ru 0.750 0.400 0.882
Ru 0.250 0.900 0.618
Ru 0.750 0.100 0.382

Properties
mass density = 13.18 Mg/m³
E = -8.723 eV/atom
total magnetization = 0.00 μB/cell
ΔH_f (0 K) = -0.076 eV/atom

=====

2.
## Tl5Hg5Au (PBE-GGA)

Data for Tl5Hg5Au after structural relaxation.

a = 6.169 Å, b = 7.252 Å, c = 9.216 Å
α = 61.43°, β = 76.34°, γ = 64.68°
Fractional positions:
Tl 0.215 0.491 0.133
Tl 0.039 0.990 0.688
Tl 0.500 0.000 0.000
Tl 0.961 0.010 0.312
Tl 0.785 0.509 0.867
Hg 0.478 0.904 0.390
Hg 0.352 0.501 0.714
Hg 0.000 0.500 0.500
Hg 0.648 0.499 0.286
Hg 0.522 0.096 0.610
Au 0.000 0.000 0.000

Properties
mass density = 11.28 Mg/m³
E = -1.505 eV/atom
total magnetization = 0.00 μB/cell
ΔH_f (0 K) = 0.005 eV/atom

=====

3.
## Nb2BiSI (PBE-GGA)

Data for Nb2BiSI after structural relaxation.

a = 5.238 Å, b = 5.045 Å, c = 5.238 Å
α = 90.00°, β = 90.00°, γ = 90.00°
Each line ends with the local moment (μB).
Fractional positions:
I 0.000 0.000 0.000  -0.04
Nb 0.000 0.000 0.500  1.32
Nb 0.500 0.000 0.000  1.32
S 0.000 0.500 0.000  0.00
Bi 0.500 0.500 0.500  -0.15

Properties
mass density = 6.64 Mg/m³
E = -4.442 eV/atom
total magnetization = 3.04 μB/cell

=====

4.
## In3H2Br4 (PBE-GGA)

Data for In3H2Br4 after structural relaxation.

a = 8.492 Å, b = 8.400 Å, c = 8.478 Å
α = 119.70°, β = 103.66°, γ = 90.00°
Fractional positions:
In 0.171 0.801 0.717
In 0.329 0.084 0.283
In 0.829 0.199 0.283
In 0.671 0.916 0.717
In 0.750 0.499 0.000
In 0.250 0.501 0.000
H 0.478 0.519 0.470
H 0.022 0.049 0.530
H 0.522 0.481 0.530
H 0.978 0.951 0.470
Br 0.517 0.756 0.004
Br 0.983 0.752 0.996
Br 0.483 0.244 0.996
Br 0.017 0.248 0.004
Br 0.831 0.628 0.403
Br 0.669 0.225 0.597
Br 0.169 0.372 0.597
Br 0.331 0.775 0.403

Properties
mass density = 4.38 Mg/m³
E = -2.889 eV/atom
total magnetization = 0.00 μB/cell

=====

5.
## Li4CdHg5 (PBE-GGA)

Data for Li4CdHg5 after structural relaxation.

a = 3.426 Å, b = 3.426 Å, c = 16.608 Å
α = 90.00°, β = 90.00°, γ = 90.00°
Fractional positions:
Li 0.000 0.000 0.211
Li 0.000 0.000 0.404
Li 0.000 0.000 0.596
Li 0.000 0.000 0.789
Cd 0.000 0.000 0.000
Hg 0.500 0.500 0.119
Hg 0.500 0.500 0.310
Hg 0.500 0.500 0.500
Hg 0.500 0.500 0.690
Hg 0.500 0.500 0.881

Properties
mass density = 9.74 Mg/m³
E = -1.316 eV/atom
total magnetization = 0.00 μB/cell
ΔH_f (0 K) = -0.308 eV/atom

=====

6.
## TaIrOsRh (PBE-GGA)

Data for TaIrOsRh after structural relaxation.

a = 3.899 Å, b = 3.914 Å, c = 3.938 Å
α = 90.00°, β = 90.00°, γ = 90.00°
Fractional positions:
Ta 0.000 0.500 0.500
Ir 0.000 0.000 0.000
Os 0.500 0.000 0.500
Rh 0.500 0.500 0.000

Properties
mass density = 18.41 Mg/m³
E = -10.298 eV/atom
total magnetization = 0.00 μB/cell
ΔH_f (0 K) = -0.475 eV/atom

=====

7.
## CsZr2Sc (PBE-GGA)

Data for CsZr2Sc after structural relaxation.

a = 4.452 Å, b = 4.452 Å, c = 11.669 Å
α = 79.00°, β = 79.00°, γ = 90.00°
Fractional positions:
Cs 0.000 0.000 0.000
Cs 0.750 0.250 0.500
Sc 0.500 0.500 0.000
Sc 0.250 0.750 0.500
Zr 0.612 0.125 0.250
Zr 0.138 0.625 0.250
Zr 0.375 0.388 0.750
Zr 0.875 0.862 0.750

Properties
mass density = 5.37 Mg/m³
E = -4.898 eV/atom
total magnetization = 0.00 μB/cell
ΔH_f (0 K) = 1.172 eV/atom
polymorph energy (0 for the lowest one) = 0.0 meV per atom

=====

8.
## MgGaHg4 (PBE-GGA)

Data for MgGaHg4 after structural relaxation.

a = 5.752 Å, b = 5.752 Å, c = 6.106 Å
α = 118.10°, β = 118.10°, γ = 90.00°
Fractional positions:
Mg 0.000 0.000 0.000
Ga 0.750 0.250 0.500
Hg 0.067 0.567 0.134
Hg 0.433 0.933 0.866
Hg 0.684 0.684 0.368
Hg 0.316 0.316 0.632

Properties
mass density = 9.88 Mg/m³
E = -0.962 eV/atom
total magnetization = 0.00 μB/cell
ΔH_f (0 K) = 0.010 eV/atom
polymorph energy (0 for the lowest one) = 8.6 meV per atom

=====

mass density of number 4 (In3H2Br4)?
4.38 Mg/m³

=====

What did the fourth record say?
## In3H2Br4 (PBE-GGA)

Data for In3H2Br4 after structural relaxation.

a = 8.492 Å, b = 8.400 Å, c = 8.478 Å
α = 119.70°, β = 103.66°, γ = 90.00°
Fractional positions:
In 0.171 0.801 0.717
In 0.329 0.084 0.283
In 0.829 0.199 0.283
In 0.671 0.916 0.717
In 0.750 0.499 0.000
In 0.250 0.501 0.000
H 0.478 0.519 0.470
H 0.022 0.049 0.530
H 0.522 0.481 0.530
H 0.978 0.951 0.470
Br 0.517 0.756 0.004
Br 0.983 0.752 0.996
Br 0.483 0.244 0.996
Br 0.017 0.248 0.004
Br 0.831 0.628 0.403
Br 0.669 0.225 0.597
Br 0.169 0.372 0.597
Br 0.331 0.775 0.403

Properties
mass density = 4.38 Mg/m³
E = -2.889 eV/atom
total magnetization = 0.00 μB/cell

=====

Which formula does entry 1 have?
NpBeRu